This record from Alexandria describes crystalline MgSc4P at its relaxed geometry. The functional is PBE-GGA.

electronic total energy = -5.0809 eV per atom
formation enthalpy at 0 K = 29.7 kJ/mol of atoms
total moment = 0.00 μB/atom

Cell and atoms, written as POSCAR:
```
MgSc4P
1.0
0.000 4.105 4.105
4.105 0.000 4.105
4.105 4.105 0.000
Mg Sc P
1 4 1
Direct
0.000 0.000 0.000
0.375 0.375 0.375
0.375 0.375 0.876
0.375 0.876 0.375
0.876 0.375 0.375
0.750 0.750 0.750
```